1 | Material: CaMgHg3
Method: DFT, PBE-GGA
State: relaxed

- Calculated volume: 261.1 Å³/cell
- Density: 8.47 g cm⁻³

```
data_CaMgHg3
_space_group_name_H-M_alt 'P 63/m m c'
_space_group_IT_number 194
_space_group_name_Hall '-P 6c 2c'
_cell_length_a 7.0663
_cell_length_b 7.0663
_cell_length_c 6.0369
_cell_angle_alpha 90.00
_cell_angle_beta 90.00
_cell_angle_gamma 120.00
loop_
_atom_site_label
_atom_site_type_symbol
_atom_site_fract_x
_atom_site_fract_y
_atom_site_fract_z
Ca1 Ca 0.3333 0.6667 0.2500
Mg1 Mg 0.0000 0.0000 0.0000
Hg1 Hg 0.1936 0.3871 0.7500
```



2 | Material: CaMgHg3
Method: DFT, PBE-GGA
State: relaxed

- Calculated volume: 147.5 Å³/cell
- Density: 7.50 g cm⁻³

```
data_CaMgHg3
_space_group_name_H-M_alt 'P m -3 m'
_space_group_IT_number 221
_space_group_name_Hall '-P 4 2 3'
_cell_length_a 5.283
_cell_length_b 5.283
_cell_length_c 5.283
_cell_angle_alpha 90.00
_cell_angle_beta 90.00
_cell_angle_gamma 90.00
loop_
_atom_site_label
_atom_site_type_symbol
_atom_site_fract_x
_atom_site_fract_y
_atom_site_fract_z
Ca1 Ca 0.000 0.000 0.000
Mg1 Mg 0.500 0.500 0.500
Hg1 Hg 0.000 0.500 0.500
```



Which is most stable? The ranking, best first, is 1, 2.



1 | Material: Ca2MgHg4
Method: DFT, PBE-GGA
State: relaxed

- Calculated volume: 577.5 Å³/cell
- Density: 7.82 g cm⁻³

```
data_Ca2MgHg4
_space_group_name_H-M_alt 'R -3 m'
_space_group_IT_number 166
_space_group_name_Hall '-R 3 2"'
_cell_length_a 4.9727
_cell_length_b 4.9727
_cell_length_c 26.9659
_cell_angle_alpha 90.00
_cell_angle_beta 90.00
_cell_angle_gamma 120.00
loop_
_atom_site_label
_atom_site_type_symbol
_atom_site_fract_x
_atom_site_fract_y
_atom_site_fract_z
Ca1 Ca 0.0000 0.0000 0.2503
Mg1 Mg 0.0000 0.0000 0.5000
Hg1 Hg 0.0000 0.0000 0.1312
Hg2 Hg 0.0000 0.0000 0.3681
```



2 | Material: Ca2MgHg4
Method: DFT, PBE-GGA
State: relaxed

- Calculated volume: 438.0 Å³/cell
- Density: 6.88 g cm⁻³

```
data_Ca2MgHg4
_space_group_name_H-M_alt 'I 4/m m m'
_space_group_IT_number 139
_space_group_name_Hall '-I 4 2'
_cell_length_a 5.241
_cell_length_b 5.241
_cell_length_c 15.946
_cell_angle_alpha 90.00
_cell_angle_beta 90.00
_cell_angle_gamma 90.00
loop_
_atom_site_label
_atom_site_type_symbol
_atom_site_fract_x
_atom_site_fract_y
_atom_site_fract_z
Ca1 Ca 0.000 0.000 0.123
Mg1 Mg 0.000 0.000 0.500
Hg1 Hg 0.000 0.000 0.319
Hg2 Hg 0.000 0.500 0.000
```



Which is most stable? The ranking, best first, is 1, 2.



1 | Material: Ca2MgHg2
Method: DFT, PBE-GGA
State: relaxed

- Calculated volume: 289.0 Å³/cell
- Density: 5.81 g cm⁻³

```
data_Ca2MgHg2
_space_group_name_H-M_alt 'P 4/m b m'
_space_group_IT_number 127
_space_group_name_Hall '-P 4 2ab'
_cell_length_a 8.888
_cell_length_b 8.888
_cell_length_c 3.658
_cell_angle_alpha 90.00
_cell_angle_beta 90.00
_cell_angle_gamma 90.00
loop_
_atom_site_label
_atom_site_type_symbol
_atom_site_fract_x
_atom_site_fract_y
_atom_site_fract_z
Ca1 Ca 0.145 0.355 0.000
Mg1 Mg 0.000 0.000 0.000
Hg1 Hg 0.152 0.652 0.500
```



2 | Material: Ca2MgHg2
Method: DFT, PBE-GGA
State: relaxed

- Calculated volume: 562.4 Å³/cell
- Density: 5.97 g cm⁻³

```
data_Ca2MgHg2
_space_group_name_H-M_alt 'C 1 2/m 1'
_space_group_IT_number 12
_cell_length_a 12.341
_cell_length_b 4.542
_cell_length_c 11.407
_cell_angle_alpha 90.00
_cell_angle_beta 118.41
_cell_angle_gamma 90.00
loop_
_space_group_symop_operation_xyz
'x,y,z'
'-x,-y,-z'
'-x,y,-z'
'x,-y,z'
'x+1/2,y+1/2,z'
'-x+1/2,-y+1/2,-z'
'-x+1/2,y+1/2,-z'
'x+1/2,-y+1/2,z'
loop_
_atom_site_label
_atom_site_type_symbol
_atom_site_fract_x
_atom_site_fract_y
_atom_site_fract_z
Ca1 Ca 0.014 0.000 0.177
Ca2 Ca 0.185 0.000 0.605
Mg1 Mg 0.212 0.500 0.868
Hg1 Hg 0.027 0.500 0.380
Hg2 Hg 0.139 0.500 0.077
```



3 | Material: Ca2MgHg2
Method: DFT, PBE-GGA
State: relaxed

- Calculated volume: 314.2 Å³/cell
- Density: 5.34 g cm⁻³

```
data_Ca2MgHg2
_space_group_name_H-M_alt 'I 4/m m m'
_space_group_IT_number 139
_space_group_name_Hall '-I 4 2'
_cell_length_a 4.301
_cell_length_b 4.301
_cell_length_c 16.987
_cell_angle_alpha 90.00
_cell_angle_beta 90.00
_cell_angle_gamma 90.00
loop_
_atom_site_label
_atom_site_type_symbol
_atom_site_fract_x
_atom_site_fract_y
_atom_site_fract_z
Ca1 Ca 0.000 0.000 0.107
Mg1 Mg 0.000 0.000 0.500
Hg1 Hg 0.000 0.500 0.250
```



4 | Material: Ca2MgHg2
Method: DFT, PBE-GGA
State: relaxed

- Calculated volume: 309.4 Å³/cell
- Density: 5.43 g cm⁻³

```
data_Ca2MgHg2
_space_group_name_H-M_alt 'I 4/m m m'
_space_group_IT_number 139
_space_group_name_Hall '-I 4 2'
_cell_length_a 6.059
_cell_length_b 6.059
_cell_length_c 8.428
_cell_angle_alpha 90.00
_cell_angle_beta 90.00
_cell_angle_gamma 90.00
loop_
_atom_site_label
_atom_site_type_symbol
_atom_site_fract_x
_atom_site_fract_y
_atom_site_fract_z
Ca1 Ca 0.000 0.500 0.250
Mg1 Mg 0.000 0.000 0.000
Hg1 Hg 0.000 0.000 0.335
```



Which is most stable? The ranking, best first, is 2, 1, 4, 3.



1 | Material: Ca2MgHg8
Method: DFT, PBE-GGA
State: relaxed

- Calculated volume: 551.1 Å³/cell
- Density: 10.30 g cm⁻³

```
data_Ca2MgHg8
_space_group_name_H-M_alt 'C 1 2/m 1'
_space_group_IT_number 12
_cell_length_a 16.055
_cell_length_b 5.103
_cell_length_c 7.258
_cell_angle_alpha 90.00
_cell_angle_beta 112.08
_cell_angle_gamma 90.00
loop_
_space_group_symop_operation_xyz
'x,y,z'
'-x,-y,-z'
'-x,y,-z'
'x,-y,z'
'x+1/2,y+1/2,z'
'-x+1/2,-y+1/2,-z'
'-x+1/2,y+1/2,-z'
'x+1/2,-y+1/2,z'
loop_
_atom_site_label
_atom_site_type_symbol
_atom_site_fract_x
_atom_site_fract_y
_atom_site_fract_z
Ca1 Ca 0.210 0.000 0.170
Mg1 Mg 0.000 0.500 0.500
Hg1 Hg 0.015 0.000 0.224
Hg2 Hg 0.105 0.500 0.925
Hg3 Hg 0.151 0.500 0.376
Hg4 Hg 0.156 0.000 0.669
```



2 | Material: Ca2MgHg8
Method: DFT, PBE-GGA
State: relaxed

- Calculated volume: 284.7 Å³/cell
- Density: 9.97 g cm⁻³

```
data_Ca2MgHg8
_space_group_name_H-M_alt 'P 4/m m m'
_space_group_IT_number 123
_space_group_name_Hall '-P 4 2'
_cell_length_a 4.748
_cell_length_b 4.748
_cell_length_c 12.628
_cell_angle_alpha 90.00
_cell_angle_beta 90.00
_cell_angle_gamma 90.00
loop_
_atom_site_label
_atom_site_type_symbol
_atom_site_fract_x
_atom_site_fract_y
_atom_site_fract_z
Ca1 Ca 0.000 0.000 0.187
Mg1 Mg 0.000 0.000 0.500
Hg1 Hg 0.000 0.500 0.000
Hg2 Hg 0.000 0.500 0.367
Hg3 Hg 0.500 0.500 0.182
```



Which is most stable? The ranking, best first, is 2, 1.